1.
The following is a PBE calculation of a geometry-optimized Y2NbIn2 structure, from Alexandria via LeMat-Bulk. Values from VASP.

Results
formation energy from the elements	-0.41	eV/f.u.
VASP energy	-5.777	eV per atom
size of the total moment	3.80	Bohr magnetons per cell

```
&SYSTEM
  ibrav = 0, nat = 10, ntyp = 3
/
ATOMIC_SPECIES
Y 88.91 Y.upf
Nb 92.91 Nb.upf
In 114.82 In.upf
CELL_PARAMETERS angstrom
-4.8906 3.8781 4.5648
-3.6732 -6.5967 1.6690
2.6638 -0.6265 3.3862
ATOMIC_POSITIONS angstrom
Y -2.0040 -4.0876 3.6190
Y -4.9997 -3.1370 6.1515
Y -3.8959 0.7425 6.0010
Y -0.9002 -0.2081 3.4685
Nb 0.0000 0.0000 0.0000
Nb -4.2819 -1.3593 3.1169
In -4.9853 -4.2979 3.1266
In -6.5661 -0.8063 5.0161
In -3.5784 1.5793 3.1072
In -1.9977 -1.9124 1.2177
```


2.
The following is a PBE calculation of a geometry-optimized ZrReTe3 structure, from Alexandria via LeMat-Bulk. Values from VASP.

Results
ΔE_f (raw)	0.815	eV per atom
VASP energy	-5.269	eV per atom
size of the total moment	2.21	Bohr magnetons per cell
excess energy over the best structure of this formula in the dataset	0.000	kcal/mol of atoms

```
&SYSTEM
  ibrav = 0, nat = 5, ntyp = 3
/
ATOMIC_SPECIES
Re 186.21 Re.upf
Te 127.60 Te.upf
Zr 91.22 Zr.upf
CELL_PARAMETERS angstrom
5.2298 0.0000 0.0000
0.0000 5.2298 0.0000
0.0000 0.0000 5.2298
ATOMIC_POSITIONS angstrom
Re 0.0000 0.0000 0.0000
Te 0.0000 2.6149 0.0000
Te 0.0000 0.0000 2.6149
Te 2.6149 0.0000 0.0000
Zr 2.6149 2.6149 2.6149
```


3.
The following is a PBE calculation of a geometry-optimized Cd8AgPd2 structure, from Alexandria via LeMat-Bulk. Values from VASP.

Results
formation energy from the elements	-1.63	eV/f.u.
VASP energy	-2.017	eV per atom
size of the total moment	0.00	Bohr magnetons per cell
excess energy over the best structure of this formula in the dataset	0.636	kcal/mol of atoms

```
&SYSTEM
  ibrav = 0, nat = 11, ntyp = 3
/
ATOMIC_SPECIES
Cd 112.41 Cd.upf
Ag 107.87 Ag.upf
Pd 106.42 Pd.upf
CELL_PARAMETERS angstrom
4.6181 0.2469 0.3706
-0.4094 7.0831 0.4185
-0.4094 -2.3418 6.6979
ATOMIC_POSITIONS angstrom
Cd -0.6755 5.1831 5.0443
Cd -0.6755 2.6589 6.7261
Cd 1.7665 3.2799 4.9230
Cd 1.8996 4.8416 2.1794
Cd 1.8996 0.1466 5.3075
Cd 2.0328 1.7083 2.5640
Cd 4.4747 2.3293 0.7609
Cd 4.4747 -0.1949 2.4426
Ag 2.3090 0.1235 0.1853
Pd -0.4094 1.1996 4.3384
Pd -0.4094 3.5417 2.7780
```


4.
The following is a PBE calculation of a geometry-optimized La2Ho15Tm2 structure, from Alexandria via LeMat-Bulk. Values from VASP.

Results
formation energy from the elements	5.65	eV/f.u.
VASP energy	-4.306	eV per atom
size of the total moment	0.00	Bohr magnetons per cell

```
&SYSTEM
  ibrav = 0, nat = 19, ntyp = 3
/
ATOMIC_SPECIES
La 138.91 La.upf
Ho 164.93 Ho.upf
Tm 168.93 Tm.upf
CELL_PARAMETERS angstrom
-0.6935 -7.0879 4.9897
8.2094 -2.8597 -0.2100
2.9316 3.1299 7.5647
ATOMIC_POSITIONS angstrom
La 9.2185 -6.0157 10.8923
La 1.2290 -0.8020 1.4522
Ho 4.1047 -1.4299 -0.1050
Ho 1.4658 1.5650 3.7824
Ho -0.3468 -3.5439 2.4948
Ho 1.8230 0.0051 6.7772
Ho 2.0291 -5.7948 3.3995
Ho 6.5954 -1.0280 2.1677
Ho 5.4867 -4.1528 1.3802
Ho 4.5457 1.2982 5.1871
Ho 0.4151 -3.9631 5.7772
Ho 7.7675 -3.8834 4.4743
Ho 5.2625 -1.0406 8.1644
Ho 3.5419 -5.8902 6.9422
Ho 2.6800 -2.9342 7.8702
Ho 5.1850 -5.7771 4.1801
Ho 6.9056 -0.9274 5.4023
Tm 7.0076 -4.5729 8.2800
Tm 3.4399 -2.2448 4.0645
```


5.
The following is a PBE calculation of a geometry-optimized CeAlGaAu structure, from Alexandria via LeMat-Bulk. Values from VASP.

Results
formation energy from the elements	-1.98	eV/f.u.
VASP energy	-4.491	eV per atom
size of the total moment	0.00	Bohr magnetons per cell

```
&SYSTEM
  ibrav = 0, nat = 4, ntyp = 4
/
ATOMIC_SPECIES
Au 196.97 Au.upf
Ga 69.72 Ga.upf
Ce 140.12 Ce.upf
Al 26.98 Al.upf
CELL_PARAMETERS angstrom
4.8885 0.0000 0.0000
2.4443 4.2336 0.0000
2.4443 1.4112 3.9915
ATOMIC_POSITIONS angstrom
Au 7.3328 4.2336 2.9936
Ga 2.4443 1.4112 0.9979
Ce 0.0000 0.0000 0.0000
Al 4.8885 2.8224 1.9957
```


6.
The following is a PBE calculation of a geometry-optimized CaCoHg3 structure, from Alexandria via LeMat-Bulk. Values from VASP.

Results
formation energy from the elements	0.03	eV/f.u.
VASP energy	-1.996	eV per atom
size of the total moment	0.66	Bohr magnetons per cell
excess energy over the best structure of this formula in the dataset	0.000	kcal/mol of atoms

```
&SYSTEM
  ibrav = 0, nat = 5, ntyp = 3
/
ATOMIC_SPECIES
Ca 40.08 Ca.upf
Co 58.93 Co.upf
Hg 200.59 Hg.upf
CELL_PARAMETERS angstrom
-3.5205 -3.4891 0.7494
2.5830 -3.2176 -2.8468
2.4624 -1.6131 4.0575
ATOMIC_POSITIONS angstrom
Ca 0.7625 -4.1599 0.9801
Co 0.0000 0.0000 0.0000
Hg 1.2915 -1.6088 -1.4234
Hg 1.2312 -0.8066 2.0288
Hg -1.7602 -1.7446 0.3747
```